No. 1
NdAsRu, relaxed, DFT PBE; calculated total energy = -0.2482 hartree per atom; density of states at the Fermi level = 0.613 states/eV/atom
1.0
4.945 0.000 0.000
0.000 4.171 0.000
0.000 0.000 6.604
Nd As Ru
2 2 2
direct
0.250 0.000 0.227
0.750 0.000 0.773
0.250 0.500 0.837
0.750 0.500 0.163
0.000 0.500 0.500
0.500 0.500 0.500

=====

No. 2
Nd8AsS6, relaxed, DFT PBE; calculated total energy = -0.2230 hartree per atom; density of states at the Fermi level = 0.517 states/eV/atom
1.0
10.382 0.000 0.000
-5.191 8.991 0.000
0.000 0.000 4.166
Nd As S
8 1 6
direct
0.032 0.705 0.258
0.295 0.327 0.258
0.327 0.032 0.742
0.333 0.667 0.748
0.667 0.333 0.252
0.673 0.968 0.258
0.705 0.673 0.742
0.968 0.295 0.742
0.000 0.000 0.500
0.133 0.482 0.247
0.348 0.867 0.247
0.482 0.348 0.753
0.518 0.652 0.247
0.652 0.133 0.753
0.867 0.518 0.753

=====

No. 3
NdAsS, relaxed, DFT PBE; calculated total energy = -0.2206 hartree per atom; density of states at the Fermi level = 0.000 states/eV/atom
1.0
7.256 0.000 0.000
0.000 3.885 0.000
0.000 0.000 9.812
Nd As S
4 4 4
direct
0.200 0.250 0.158
0.300 0.750 0.658
0.700 0.250 0.342
0.800 0.750 0.842
0.099 0.250 0.459
0.401 0.750 0.959
0.599 0.250 0.041
0.901 0.750 0.541
0.094 0.250 0.840
0.406 0.750 0.340
0.594 0.250 0.660
0.906 0.750 0.160

=====

No. 4
Nd3AsS6, relaxed, DFT PBE; calculated total energy = -0.2176 hartree per atom; density of states at the Fermi level = 0.000 states/eV/atom
1.0
5.452 -6.765 0.000
5.452 6.765 0.000
0.000 0.000 7.116
Nd As S
6 2 12
direct
0.101 0.899 0.500
0.213 0.415 0.570
0.415 0.213 0.070
0.585 0.787 0.570
0.787 0.585 0.070
0.899 0.101 0.000
0.316 0.684 0.135
0.684 0.316 0.635
0.079 0.597 0.284
0.141 0.185 0.284
0.185 0.141 0.784
0.279 0.721 0.713
0.403 0.921 0.284
0.472 0.528 0.299
0.528 0.472 0.799
0.597 0.079 0.784
0.721 0.279 0.213
0.815 0.859 0.284
0.859 0.815 0.784
0.921 0.403 0.784

=====

No. 5
Nd7As5S, relaxed, DFT PBE; calculated total energy = -0.2236 hartree per atom; density of states at the Fermi level = 0.540 states/eV/atom
1.0
7.012 -2.102 0.000
7.012 2.102 0.000
-0.030 0.000 24.761
Nd As S
14 10 2
direct
0.000 0.000 0.000
0.000 0.000 0.143
0.096 0.096 0.716
0.097 0.097 0.427
0.268 0.268 0.216
0.268 0.268 0.927
0.364 0.364 0.643
0.365 0.365 0.500
0.544 0.544 0.858
0.545 0.545 0.285
0.626 0.626 0.572
0.739 0.739 0.072
0.820 0.820 0.358
0.820 0.820 0.785
0.182 0.182 0.322
0.182 0.182 0.822
0.456 0.456 0.397
0.456 0.456 0.747
0.635 0.635 0.173
0.636 0.636 0.970
0.729 0.729 0.470
0.729 0.729 0.674
0.908 0.908 0.246
0.908 0.908 0.897
0.384 0.384 0.071
0.980 0.980 0.573

=====

No. 6
Nd3As2S, relaxed, DFT PBE; calculated total energy = -0.2330 hartree per atom; density of states at the Fermi level = 0.260 states/eV/atom
1.0
-2.110 2.982 6.298
2.110 -2.982 6.298
2.110 2.982 -6.298
Nd As S
3 2 1
direct
0.000 0.000 0.000
0.334 0.334 0.000
0.666 0.666 0.000
0.167 0.667 0.500
0.833 0.333 0.500
0.500 0.000 0.500

=====

Repeat the second record exactly.
Nd8AsS6, relaxed, DFT PBE; calculated total energy = -0.2230 hartree per atom; density of states at the Fermi level = 0.517 states/eV/atom
1.0
10.382 0.000 0.000
-5.191 8.991 0.000
0.000 0.000 4.166
Nd As S
8 1 6
direct
0.032 0.705 0.258
0.295 0.327 0.258
0.327 0.032 0.742
0.333 0.667 0.748
0.667 0.333 0.252
0.673 0.968 0.258
0.705 0.673 0.742
0.968 0.295 0.742
0.000 0.000 0.500
0.133 0.482 0.247
0.348 0.867 0.247
0.482 0.348 0.753
0.518 0.652 0.247
0.652 0.133 0.753
0.867 0.518 0.753

=====

Question: calculated total energy of number 3 (NdAsS)?
Answer: -0.2206 hartree per atom

=====

Question: density of states at the Fermi level of number 6 (Nd3As2S)?
Answer: 0.260 states/eV/atom

=====

Question: What is the calculated total energy in the fourth record?
Answer: -0.2176 hartree per atom